No. 1
UMoC2 | SCAN | single point on PBEsol structure

Computed properties:
total magnetization = 0.000 Bohr magnetons per cell
calculated formation energy = -0.257 eV/atom
crystal system = orthorhombic

a = 5.5792 Å, b = 3.1699 Å, c = 10.9925 Å
α = 90.00°, β = 90.00°, γ = 90.00°
Closest atoms and distances in Å follow each position.
Space group Pnma (No. 62)
Asymmetric unit:
1 U 0.0798 0.2500 0.1420  7 C 2.36-2.47
2 Mo 0.0781 0.7500 0.3987  5 C 2.12-2.19
3 C 0.1643 0.2500 0.7552  2 Mo 2.13-2.17, 2 U 2.38
4 C 0.2504 0.2500 0.4928  3 Mo 2.12-2.19, 1 U 2.36



No. 2
KAu | SCAN | single point on PBEsol structure

Computed properties:
total magnetization = 0.000 Bohr magnetons per cell
calculated formation energy = -0.419 eV/atom
crystal system = orthorhombic

a = 4.5226 Å, b = 11.6403 Å, c = 4.7076 Å
α = 90.00°, β = 90.00°, γ = 90.00°
Closest atoms and distances in Å follow each position.
Space group Cmcm (No. 63)
Asymmetric unit:
1 K 0.0000 0.1442 0.2500  7 Au 3.31-3.40
2 Au 0.0000 0.4364 0.2500  2 Au 2.78



No. 3
SiAs2Cl | SCAN | single point on PBEsol structure

Computed properties:
total magnetization = 0.000 Bohr magnetons per cell
E above lowest polymorph = 0.000 eV per atom
crystal system = monoclinic

a = 7.8937 Å, b = 3.5392 Å, c = 7.4294 Å
α = 90.00°, β = 113.27°, γ = 90.00°
Closest atoms and distances in Å follow each position.
Space group Cm (No. 8)
Asymmetric unit:
1 Si 0.0000 0.0000 0.0000  2 Cl 2.40, 1 As 2.44
2 As 0.2088 0.0000 0.8298  1 Si 2.44, 2 As 2.47
3 As 0.4881 0.0000 0.6511  2 As 2.47
4 Cl 0.1447 0.5000 0.2270  2 Si 2.40



No. 4
Li3VFe3O8 | SCAN | single point on PBEsol structure

Computed properties:
total magnetization = 42.000 Bohr magnetons per cell
crystal system = trigonal
electronic total energy = -477.53 eV per cell

a = 5.8360 Å, b = 5.8360 Å, c = 14.4821 Å
α = 90.00°, β = 90.00°, γ = 120.00°
Closest atoms and distances in Å follow each position.
Space group R-3m (No. 166, hexagonal axes)
Asymmetric unit:
1 Li 0.0000 0.5000 0.0000  6 O 2.11-2.13
2 V 0.0000 0.0000 0.5000  6 O 1.89
3 Fe 0.0000 0.5000 0.5000  6 O 2.02-2.05
4 O 0.0000 0.0000 0.2433  3 Fe 2.02, 3 Li 2.13
5 O 0.0251 0.5126 0.2407  1 V 1.89, 2 Fe 2.05, 2 Li 2.11



No. 5
Re2Sb4O13 | SCAN | single point on PBEsol structure

Computed properties:
total magnetization = 0.000 Bohr magnetons per cell
crystal system = triclinic
electronic total energy = -801.97 eV per cell

a = 7.6726 Å, b = 9.3230 Å, c = 10.0126 Å
α = 71.92°, β = 68.68°, γ = 66.46°
Closest atoms and distances in Å follow each position.
Space group P-1 (No. 2)
Asymmetric unit:
1 Re 0.1470 0.1675 0.1324  4 O 1.73-1.78
2 Re 0.3195 0.0514 0.7219  4 O 1.74-1.76
3 Sb 0.1988 0.7684 0.4606  3 O 1.97-2.08
4 Sb 0.2216 0.4135 0.3850  3 O 1.97-2.11
5 Sb 0.2956 0.6620 0.0507  3 O 1.98-2.16
6 Sb 0.3291 0.4595 0.7671  3 O 1.98-2.04
7 O 0.0691 0.5935 0.5100  3 Sb 2.08-2.11
8 O 0.0700 0.6925 0.9160  1 Re 1.78
9 O 0.1302 0.1995 0.3003  1 Re 1.75
10 O 0.1399 0.1194 0.8756  1 Re 1.74
11 O 0.1428 0.5294 0.2036  2 Sb 1.97-1.98
12 O 0.1590 0.9702 0.1662  1 Re 1.73
13 O 0.2076 0.0808 0.5878  1 Re 1.74
14 O 0.3415 0.6504 0.6115  2 Sb 1.97-1.98
15 O 0.3609 0.1996 0.0058  1 Re 1.74
16 O 0.3714 0.6267 0.3098  2 Sb 2.04
17 O 0.4318 0.5073 0.9045  3 Sb 2.04-2.16
18 O 0.4421 0.8490 0.7700  1 Re 1.74
19 O 0.4837 0.1628 0.6544  1 Re 1.76



No. 6
Sr2MnRuBr | SCAN | single point on PBEsol structure

Computed properties:
total magnetization = 4.038 Bohr magnetons per cell
crystal system = tetragonal
electronic total energy = -118.39 eV per cell

a = 5.8532 Å, b = 5.8532 Å, c = 4.3463 Å
α = 90.00°, β = 90.00°, γ = 90.00°
Closest atoms and distances in Å follow each position.
Space group P4/mmm (No. 123)
Asymmetric unit:
1 Sr 0.0000 0.5000 0.0000  2 Ru 2.93
2 Mn 0.0000 0.0000 0.5000  2 Ru 2.17
3 Ru 0.0000 0.0000 0.0000  2 Mn 2.17
4 Br 0.5000 0.5000 0.5000  8 Sr 3.65